Material: Ni2SbAs
Method: DFT, PBE
State: optimized geometry

It has space group Pmmm (No. 47), with a = 3.0667 Å, b = 3.0922 Å, c = 6.9305 Å, α = 90.00°, β = 90.00° and γ = 90.00°. The distinct sites, in fractional coordinates, are Ni at (0.0000, 0.0000, 0.1828), Sb at (0.5000, 0.0000, 0.5000) and As at (0.5000, 0.5000, 0.0000).

The calculation puts the volume at 16.431 Å³/atom. The calculation puts the density of states at the Fermi level at 2.92 states/eV/f.u. For the formation energy from raw total energies, the calculation gives -0.010 eV per atom.


Material: Sr5Tl3Cl12
Method: DFT, PBE
State: optimized geometry

It has space group Ia-3d (No. 230), with a = 18.1996 Å, b = 18.1996 Å, c = 18.1996 Å, α = 90.00°, β = 90.00° and γ = 90.00°. The distinct sites, in fractional coordinates, are Sr at (0.0000, 0.0000, 0.0000), Sr at (0.0000, 0.2500, 0.3750), Tl at (0.0000, 0.2500, 0.1250) and Cl at (0.0297, 0.0594, 0.6458).

The calculation puts the volume at 37.676 Å³/atom. The calculation puts the density of states at the Fermi level at 6.79 states/eV/f.u. For the formation energy from raw total energies, the calculation gives -1.890 eV per atom.


Material: Rb2USe3S
Method: DFT, PBE
State: optimized geometry

It has space group Immm (No. 71), with a = 5.1788 Å, b = 5.4552 Å, c = 17.4545 Å, α = 90.00°, β = 90.00° and γ = 90.00°. The distinct sites, in fractional coordinates, are Rb at (0.0000, 0.0000, 0.1457), U at (0.0000, 0.0000, 0.5000), Se at (0.0000, 0.0000, 0.3500), Se at (0.0000, 0.5000, 0.5000) and S at (0.0000, 0.5000, 0.0000).

The calculation puts the volume at 35.222 Å³/atom. The calculation puts the density of states at the Fermi level at 0.24 states/eV/f.u. For the formation energy from raw total energies, the calculation gives -1.199 eV per atom.


Material: PBr
Method: DFT, PBE
State: optimized geometry

It has space group Pm-3n (No. 223), with a = 7.7873 Å, b = 7.7873 Å, c = 7.7873 Å, α = 90.00°, β = 90.00° and γ = 90.00°. The distinct sites, in fractional coordinates, are P at (0.0000, 0.2500, 0.5000) and Br at (0.0000, 0.5000, 0.2500).

The value obtained for the energy above the lowest structure with this stoichiometry is 1.342 eV per atom. The calculation puts the volume at 39.353 Å³/atom. The calculation puts the density of states at the Fermi level at 2.81 states/eV/f.u. For the formation energy from raw total energies, the calculation gives 1.212 eV per atom.